1.
A relaxed structure of CaAc9Y2. Source: Alexandria, functional PBE.

Cell lengths 5.529, 5.529, 16.615 Å; angles 90.00, 90.00, 90.00 degrees
Fractional coordinates of all 12 atoms:
Y 0.000 0.000 0.335
Ca 0.000 0.000 0.000
Ac 0.500 0.000 0.172
Ac 0.500 0.500 0.335
Ac 0.000 0.500 0.828
Ac 0.500 0.500 0.665
Y 0.000 0.000 0.665
Ac 0.500 0.000 0.500
Ac 0.500 0.000 0.828
Ac 0.000 0.500 0.172
Ac 0.000 0.500 0.500
Ac 0.500 0.500 0.000

The formation energy from the elements is 26 meV/atom. For the density of states at the Fermi level, the calculation gives 16.8 states/eV per cell. Its symmetry is P4/mmm (123).

***

2.
A relaxed structure of DyZnNi. Source: Alexandria, functional PBE.

Cell lengths 3.785, 7.010, 12.293 Å; angles 90.00, 90.00, 90.00 degrees
Fractional coordinates of all 18 atoms:
Dy 0.000 0.251 0.956
Dy 0.000 0.749 0.044
Zn 0.500 0.577 0.868
Ni 0.500 0.052 0.408
Ni 0.000 0.553 0.250
Zn 0.500 0.791 0.250
Zn 0.500 0.423 0.132
Ni 0.500 0.948 0.592
Zn 0.500 0.209 0.750
Zn 0.500 0.423 0.368
Dy 0.000 0.251 0.544
Dy 0.000 0.137 0.250
Ni 0.500 0.948 0.908
Dy 0.000 0.749 0.456
Ni 0.500 0.052 0.092
Zn 0.500 0.577 0.632
Ni 0.000 0.447 0.750
Dy 0.000 0.863 0.750

The formation energy from the elements is -446 meV/atom. For the density of states at the Fermi level, the calculation gives 11.8 states/eV per cell. Its symmetry is Pmma (51).

***

3.
A relaxed structure of ThNpRh2. Source: Alexandria, functional PBE.

Cell lengths 3.503, 4.933, 4.933 Å; angles 90.00, 90.00, 90.00 degrees
Fractional coordinates of all 4 atoms:
Rh 0.000 0.000 0.500
Th 0.500 0.000 0.000
Np 0.500 0.500 0.500
Rh 0.000 0.500 0.000

As for the polymorph energy (0 for the lowest one): 0.0536 eV per atom. The formation energy from the elements is -444 meV/atom. For the density of states at the Fermi level, the calculation gives 6.7 states/eV per cell. Its symmetry is P4/mmm (123).

***

4.
A relaxed structure of ZrAlFe. Source: Alexandria, functional PBE.

Cell lengths 5.096, 5.096, 5.096 Å; angles 92.25, 117.89, 119.54 degrees
Fractional coordinates of all 6 atoms:
Al 0.000 0.500 0.000
Al 0.500 0.500 0.500
Fe 0.500 0.000 0.500
Zr 0.250 0.116 0.866
Zr 0.750 0.884 0.134
Fe 0.000 0.500 0.500

The formation energy from the elements is -422 meV/atom. For the density of states at the Fermi level, the calculation gives 4.9 states/eV per cell. Its symmetry is Imma (74).

***

5.
A relaxed structure of Rb2LiRe. Source: Alexandria, functional PBE.

Cell lengths 4.883, 4.883, 12.816 Å; angles 79.02, 79.02, 90.00 degrees
Fractional coordinates of all 8 atoms:
Rb 0.628 0.125 0.250
Rb 0.122 0.625 0.250
Re 0.750 0.250 0.500
Li 0.250 0.750 0.500
Li 0.500 0.500 0.000
Rb 0.875 0.878 0.750
Rb 0.375 0.372 0.750
Re 0.000 0.000 0.000

As for the polymorph energy (0 for the lowest one): 0.1421 eV per atom. The formation energy from the elements is 1738 meV/atom. For the density of states at the Fermi level, the calculation gives 12.2 states/eV per cell. Its symmetry is I-42d (122).

***

6.
A relaxed structure of Pm8Si5Ge. Source: Alexandria, functional PBE.

Cell lengths 7.838, 7.838, 7.838 Å; angles 109.49, 109.44, 109.49 degrees
Fractional coordinates of all 14 atoms:
Pm 0.755 0.249 0.374
Si 0.000 0.375 0.125
Pm 0.626 0.381 0.876
Si 0.875 0.875 0.250
Pm 0.626 0.883 0.875
Si 0.375 0.125 0.000
Pm 0.494 0.619 0.245
Si 0.500 0.000 0.500
Pm 0.124 0.751 0.506
Pm 0.257 0.249 0.374
Pm 0.992 0.117 0.743
Pm 0.125 0.751 0.008
Ge 0.250 0.500 0.750
Si 0.750 0.625 0.625

The value obtained for the uncorrected formation energy is -9.7 eV per formula unit. For the density of states at the Fermi level, the calculation gives 1.1 states/eV per cell. Its symmetry is I-4 (82).

***

7.
A relaxed structure of SrTeW2. Source: Alexandria, functional PBE.

Cell lengths 3.703, 3.703, 6.875 Å; angles 90.00, 90.00, 90.00 degrees
Fractional coordinates of all 4 atoms:
Te 0.500 0.500 0.750
Sr 0.500 0.500 0.250
W 0.000 0.000 0.574
W 0.000 0.000 0.926

The value obtained for the uncorrected formation energy is 4.2 eV per formula unit. For the density of states at the Fermi level, the calculation gives 4.2 states/eV per cell. Its symmetry is P4/mmm (123).

***

8.
A relaxed structure of HoBi2Au. Source: Alexandria, functional PBE.

Cell lengths 3.620, 3.620, 10.739 Å; angles 80.30, 80.30, 60.00 degrees
Fractional coordinates of all 4 atoms:
Bi 0.099 0.099 0.702
Au 0.500 0.500 0.500
Bi 0.901 0.901 0.298
Ho 0.000 0.000 0.000

The formation energy from the elements is 106 meV/atom. For the density of states at the Fermi level, the calculation gives 3.4 states/eV per cell. Its symmetry is R-3m (166).

***

9.
A relaxed structure of Ti12ZnGa6. Source: Alexandria, functional PBE.

Cell lengths 6.766, 6.766, 6.766 Å; angles 89.43, 89.43, 89.43 degrees
Fractional coordinates of all 19 atoms:
Ga 0.728 0.876 0.257
Ti 0.194 0.479 0.562
Ga 0.272 0.124 0.743
Ti 0.438 0.806 0.521
Ti 0.061 0.144 0.383
Ga 0.124 0.743 0.272
Ga 0.257 0.728 0.876
Ti 0.562 0.194 0.479
Ti 0.856 0.617 0.939
Ti 0.806 0.521 0.438
Ti 0.521 0.438 0.806
Ti 0.479 0.562 0.194
Ti 0.617 0.939 0.856
Ti 0.939 0.856 0.617
Ga 0.876 0.257 0.728
Zn 0.000 0.000 0.000
Ga 0.743 0.272 0.124
Ti 0.383 0.061 0.144
Ti 0.144 0.383 0.061

The formation energy from the elements is -250 meV/atom. For the density of states at the Fermi level, the calculation gives 21.5 states/eV per cell. Its symmetry is R-3 (148).

***

10.
A relaxed structure of Sr3MoC. Source: Alexandria, functional PBE.

Cell lengths 5.436, 5.436, 5.436 Å; angles 90.00, 90.00, 90.00 degrees
Fractional coordinates of all 5 atoms:
Sr 0.000 0.000 0.500
Sr 0.000 0.500 0.000
Sr 0.500 0.000 0.000
Mo 0.500 0.500 0.500
C 0.000 0.000 0.000

As for the polymorph energy (0 for the lowest one): 0.0000 eV per atom. The formation energy from the elements is 1029 meV/atom. For the density of states at the Fermi level, the calculation gives 11.0 states/eV per cell. Its symmetry is Pm-3m (221).

***

11.
A relaxed structure of Sr6GaBr12. Source: Alexandria, functional PBE.

Cell lengths 9.460, 9.460, 9.460 Å; angles 105.73, 105.73, 105.73 degrees
Fractional coordinates of all 19 atoms:
Br 0.442 0.173 0.519
Br 0.558 0.827 0.481
Br 0.856 0.041 0.328
Sr 0.589 0.176 0.267
Br 0.173 0.519 0.442
Sr 0.824 0.733 0.411
Sr 0.267 0.589 0.176
Br 0.041 0.328 0.856
Br 0.481 0.558 0.827
Sr 0.411 0.824 0.733
Sr 0.176 0.267 0.589
Br 0.519 0.442 0.173
Sr 0.733 0.411 0.824
Br 0.144 0.959 0.672
Br 0.959 0.672 0.144
Br 0.328 0.856 0.041
Ga 0.000 0.000 0.000
Br 0.827 0.481 0.558
Br 0.672 0.144 0.959

The value obtained for the uncorrected formation energy is -35.4 eV per formula unit. Its symmetry is R-3 (148).

***

12.
A relaxed structure of SrYAg2. Source: Alexandria, functional PBE.

Cell lengths 4.947, 3.929, 6.065 Å; angles 71.18, 90.00, 90.00 degrees
Fractional coordinates of all 4 atoms:
Ag 0.500 0.052 0.272
Sr 0.000 0.482 0.412
Y 0.500 0.760 0.855
Ag 0.000 0.206 0.961

As for the polymorph energy (0 for the lowest one): 0.0501 eV per atom. The formation energy from the elements is -242 meV/atom. For the density of states at the Fermi level, the calculation gives 2.5 states/eV per cell. Its symmetry is Pm (6).

***

It is found that the electronic total energy values, taken in the order of the records, are -51.6; -78.0; -36.8; -44.0; -18.7; -79.5; -26.5; -15.2; -118.9; -20.0; -68.6; -14.8 eV per cell.